A plane-wave DFT calculation with PBE was carried out for a relaxed structure of Zr2NbOsAu.

Lattice parameters (Å, degrees): 5.0497 4.8501 5.0497 90.00 90.00 90.00
Fractional positions:
1 Au 0.0000 0.0000 0.0000
2 Zr 0.5000 0.0000 0.0000
3 Zr 0.0000 0.0000 0.5000
4 Nb 0.0000 0.5000 0.0000
5 Os 0.5000 0.5000 0.5000

## Properties
The total magnetic moment is 0.000 μB per cell. For the calculated density, the calculation gives 8.9 g cm⁻³. Its density of states at the Fermi level is 7.24 states/eV/f.u. The value obtained for the total DFT energy (no corrections) is -6.846 eV/atom.

A plane-wave DFT calculation with PBE was carried out for a relaxed structure of Zr2Sc2Ni.

Lattice parameters (Å, degrees): 6.5916 6.5916 4.9122 90.00 90.00 90.00
Fractional positions:
1 Zr 0.1568 0.6568 0.5000
2 Zr 0.6568 0.8432 0.5000
3 Zr 0.3432 0.1568 0.5000
4 Zr 0.8432 0.3432 0.5000
5 Sc 0.6553 0.1553 0.0000
6 Sc 0.1553 0.3447 0.0000
7 Sc 0.3447 0.8447 0.0000
8 Sc 0.8447 0.6553 0.0000
9 Ni 0.5000 0.5000 0.0000
10 Ni 0.0000 0.0000 0.0000

## Properties
The total magnetic moment is 0.000 μB per cell. For the calculated density, the calculation gives 5.2 g cm⁻³. Its density of states at the Fermi level is 5.36 states/eV/f.u. The value obtained for the total DFT energy (no corrections) is -7.049 eV/atom.

A plane-wave DFT calculation with PBE was carried out for a relaxed structure of LiNi14Ge.

Lattice parameters (Å, degrees): 4.9770 4.9770 8.1619 90.00 90.00 119.34
Each line ends with the local moment (μB).
Fractional positions:
1 Ni 0.3735 0.6265 0.7498  0.49
2 Ni 0.8748 0.6257 0.2495  0.45
3 Ni 0.8740 0.1260 0.7531  0.61
4 Ni 0.3743 0.1252 0.2495  0.45
5 Ni 0.7057 0.7924 0.0000  0.68
6 Ni 0.8748 0.6257 0.7505  0.45
7 Ni 0.2076 0.2943 0.0000  0.68
8 Ni 0.8740 0.1260 0.2469  0.61
9 Ni 0.5456 0.9555 0.5000  0.30
10 Ni 0.0445 0.4544 0.5000  0.30
11 Ni 0.7061 0.2939 0.0000  0.70
12 Ni 0.3735 0.6265 0.2502  0.49
13 Ni 0.2064 0.7936 0.0000  0.62
14 Ni 0.3743 0.1252 0.7505  0.45
15 Ge 0.5463 0.4537 0.5000  -0.02
16 Li 0.0447 0.9553 0.5000  -0.02

## Properties
The total magnetic moment is 6.886 μB per cell. For the calculated density, the calculation gives 8.5 g cm⁻³. Its density of states at the Fermi level is 23.97 states/eV/f.u. The value obtained for the total DFT energy (no corrections) is -5.523 eV/atom.

A plane-wave DFT calculation with PBE was carried out for a relaxed structure of Pm4Tl5Co2.

Lattice parameters (Å, degrees): 3.7925 7.9590 9.5066 94.50 90.00 90.00
Each line ends with the local moment (μB).
Fractional positions:
1 Pm 0.5000 0.8173 0.1686  -0.05
2 Pm 0.5000 0.2140 0.4267  -0.06
3 Pm 0.5000 0.1827 0.8314  -0.05
4 Pm 0.5000 0.7860 0.5733  -0.06
5 Tl 0.0000 0.8511 0.8631  0.00
6 Tl 0.0000 0.5553 0.3386  0.00
7 Tl 0.0000 0.1489 0.1369  0.00
8 Tl 0.0000 0.5000 0.0000  0.01
9 Tl 0.0000 0.4447 0.6614  0.00
10 Co 0.0000 0.9341 0.3844  0.60
11 Co 0.0000 0.0659 0.6156  0.60

## Properties
The total magnetic moment is 0.823 μB per cell. For the calculated density, the calculation gives 10.0 g cm⁻³. Its density of states at the Fermi level is 7.88 states/eV/f.u. The value obtained for the total DFT energy (no corrections) is -4.335 eV/atom.

A plane-wave DFT calculation with PBE was carried out for a relaxed structure of HoSi2Pt2.

Lattice parameters (Å, degrees): 5.7290 5.7290 5.7290 137.03 137.03 62.39
Fractional positions:
1 Ho 0.0000 0.0000 0.0000
2 Pt 0.7500 0.2500 0.5000
3 Pt 0.2500 0.7500 0.5000
4 Si 0.3816 0.3816 0.0000
5 Si 0.6184 0.6184 0.0000

## Properties
The total magnetic moment is 0.000 μB per cell. For the calculated density, the calculation gives 11.8 g cm⁻³. Its density of states at the Fermi level is 3.78 states/eV/f.u. The calculation puts the uncorrected formation energy at -1.028 eV/atom.

A plane-wave DFT calculation with PBE was carried out for a relaxed structure of VRu2Br.

Lattice parameters (Å, degrees): 5.4061 5.4061 6.8478 66.75 66.75 90.00
Fractional positions:
1 Br 0.7500 0.2500 0.5000
2 Br 0.0000 0.0000 0.0000
3 V 0.2500 0.7500 0.5000
4 V 0.5000 0.5000 0.0000
5 Ru 0.8750 0.8426 0.7500
6 Ru 0.1574 0.6250 0.2500
7 Ru 0.5926 0.1250 0.2500
8 Ru 0.3750 0.4074 0.7500

## Properties
The total magnetic moment is 0.000 μB per cell. For the calculated density, the calculation gives 6.7 g cm⁻³. Its density of states at the Fermi level is 2.18 states/eV/f.u. The calculation puts the uncorrected formation energy at 0.815 eV/atom.

A plane-wave DFT calculation with PBE was carried out for a relaxed structure of Th6Hg3Os.

Lattice parameters (Å, degrees): 8.4643 8.4643 8.4643 93.76 93.76 93.76
Fractional positions:
1 Th 0.4735 0.5733 0.8248
2 Th 0.5265 0.4267 0.1752
3 Th 0.9258 0.0251 0.6749
4 Th 0.5733 0.8248 0.4735
5 Th 0.1752 0.5265 0.4267
6 Th 0.0251 0.6749 0.9258
7 Th 0.0742 0.9749 0.3251
8 Th 0.9749 0.3251 0.0742
9 Th 0.8248 0.4735 0.5733
10 Th 0.4267 0.1752 0.5265
11 Th 0.6749 0.9258 0.0251
12 Th 0.3251 0.0742 0.9749
13 Hg 0.7496 0.1576 0.3413
14 Hg 0.8424 0.6587 0.2504
15 Hg 0.3413 0.7496 0.1576
16 Hg 0.1576 0.3413 0.7496
17 Hg 0.2504 0.8424 0.6587
18 Hg 0.6587 0.2504 0.8424
19 Os 0.0000 0.0000 0.0000
20 Os 0.5000 0.5000 0.5000

## Properties
The total magnetic moment is 0.000 μB per cell. For the calculated density, the calculation gives 12.0 g cm⁻³. Its density of states at the Fermi level is 11.05 states/eV/f.u. The value obtained for the total DFT energy (no corrections) is -5.717 eV/atom.

A plane-wave DFT calculation with PBE was carried out for a relaxed structure of RbBaSI2.

Lattice parameters (Å, degrees): 6.4906 6.4906 18.6397 90.00 90.00 90.00
Each line ends with the local moment (μB).
Fractional positions:
1 I 0.5000 0.0000 0.0000  0.00
2 I 0.0000 0.5000 0.0000  0.00
3 Rb 0.0000 0.0000 0.5000  0.00
4 S 0.5000 0.5000 0.5000  0.53
5 Ba 0.0000 0.0000 0.0000  0.00

## Properties
The total magnetic moment is 1.006 μB per cell. For the calculated density, the calculation gives 1.1 g cm⁻³. The calculation puts the uncorrected formation energy at -0.711 eV/atom.

A plane-wave DFT calculation with PBE was carried out for a relaxed structure of PmHo3Tm3.

Lattice parameters (Å, degrees): 5.6110 9.5049 9.5049 120.00 90.00 90.00
Fractional positions:
1 Ho 0.7500 0.1889 0.2376
2 Ho 0.2500 0.8111 0.7624
3 Ho 0.2500 0.9513 0.1889
4 Ho 0.7500 0.0487 0.8111
5 Ho 0.7500 0.7624 0.9513
6 Ho 0.2500 0.2376 0.0487
7 Pm 0.2500 0.6667 0.3333
8 Pm 0.7500 0.3333 0.6667
9 Tm 0.2500 0.5232 0.9043
10 Tm 0.7500 0.9043 0.3811
11 Tm 0.2500 0.0957 0.6189
12 Tm 0.2500 0.3811 0.4768
13 Tm 0.7500 0.6189 0.5232
14 Tm 0.7500 0.4768 0.0957

## Properties
The total magnetic moment is 0.014 μB per cell. For the calculated density, the calculation gives 8.7 g cm⁻³. Its density of states at the Fermi level is 13.82 states/eV/f.u. The value obtained for the total DFT energy (no corrections) is -4.550 eV/atom.

A plane-wave DFT calculation with PBE was carried out for a relaxed structure of CdSi3O.

Lattice parameters (Å, degrees): 4.9824 4.9824 4.9824 90.00 90.00 90.00
Each line ends with the local moment (μB).
Fractional positions:
1 Si 0.0000 0.5000 0.0000  -0.01
2 Si 0.5000 0.0000 0.0000  -0.02
3 Si 0.0000 0.0000 0.5000  -0.03
4 Cd 0.0000 0.0000 0.0000  0.00
5 O 0.5000 0.5000 0.5000  0.65

## Properties
The total magnetic moment is 0.500 μB per cell. For the calculated density, the calculation gives 2.9 g cm⁻³. Its density of states at the Fermi level is 3.04 states/eV/f.u. The calculation puts the uncorrected formation energy at 1.668 eV/atom.

A plane-wave DFT calculation with PBE was carried out for a relaxed structure of TbNd2Ru.

Lattice parameters (Å, degrees): 4.0223 6.3937 9.3996 90.00 90.00 108.31
Fractional positions:
1 Ru 0.7410 0.4819 0.7500
2 Ru 0.2590 0.5181 0.2500
3 Tb 0.0815 0.1629 0.7500
4 Tb 0.9185 0.8371 0.2500
5 Nd 0.6411 0.2824 0.4312
6 Nd 0.3589 0.7176 0.9312
7 Nd 0.6411 0.2824 0.0688
8 Nd 0.3589 0.7176 0.5688

## Properties
The total magnetic moment is 0.000 μB per cell. For the calculated density, the calculation gives 7.9 g cm⁻³. Its density of states at the Fermi level is 3.33 states/eV/f.u. The value obtained for the total DFT energy (no corrections) is -6.058 eV/atom.

A plane-wave DFT calculation with PBE was carried out for a relaxed structure of BaZnCr.

Lattice parameters (Å, degrees): 5.4599 5.4599 5.4599 60.00 60.00 60.00
Each line ends with the local moment (μB).
Fractional positions:
1 Ba 0.2500 0.2500 0.2500  0.06
2 Cr 0.0000 0.0000 0.0000  4.15
3 Zn 0.5000 0.5000 0.5000  -0.01

## Properties
The total magnetic moment is 4.835 μB per cell. For the calculated density, the calculation gives 3.7 g cm⁻³. Its density of states at the Fermi level is 2.39 states/eV/f.u. The value obtained for the total DFT energy (no corrections) is -3.311 eV/atom.

> What is the total magnetic moment in the fifth record?

0.000 μB per cell

> What is the formula in the ninth record?

PmHo3Tm3

> Look up the total magnetic moment of the eleventh one.

0.000 μB per cell

> The lowest calculated density belongs to which entry?

RbBaSI2